La2YW: optimized geometry, GGA-PBE.

The structure in extended XYZ format:
```
4
Lattice="-1.3030 -1.3054 -5.8140 -4.3186 -1.4432 4.0584 -1.3129 2.9154 -0.3603" Properties=species:S:1:pos:R:3 pbc="T T T"
La -2.8108 -1.3743 -0.8778
La 0.0000 0.0000 0.0000
Y -2.8158 0.7361 1.8490
W -1.3080 0.8050 -3.0872
```

## Properties
Symmetry: Cmmm
Excess energy over the best structure of this formula in the dataset, eV per atom: 0.207
N(E_F), states/eV/f.u.: 5.37

---

LaY3W: optimized geometry, GGA-PBE.

The structure in extended XYZ format:
```
5
Lattice="-2.1367 4.8598 1.5166 -4.0640 -0.6377 -3.6825 -3.0662 -2.5415 3.8240" Properties=species:S:1:pos:R:3 pbc="T T T"
Y -2.0320 -0.3188 -1.8412
W 0.0000 0.0000 0.0000
Y -1.5331 -1.2707 1.9120
Y -1.0684 2.4299 0.7583
La -4.6335 0.8403 0.8291
```

## Properties
Symmetry: Pm-3m
Excess energy over the best structure of this formula in the dataset, eV per atom: 0.000
N(E_F), states/eV/f.u.: 7.41

---

LaY2W: optimized geometry, GGA-PBE.

The structure in extended XYZ format:
```
4
Lattice="3.4355 -0.0061 0.0000 0.0062 3.4355 0.0000 0.0000 0.0000 9.7281" Properties=species:S:1:pos:R:3 pbc="T T T"
La 1.7209 1.7147 2.4320
W 1.7209 1.7147 7.2961
Y 0.0000 0.0000 9.1061
Y 0.0000 0.0000 5.4861
```

## Properties
Symmetry: P4/mmm
Excess energy over the best structure of this formula in the dataset, eV per atom: 0.000
N(E_F), states/eV/f.u.: 8.17

---

La2YW: optimized geometry, GGA-PBE.

The structure in extended XYZ format:
```
4
Lattice="5.6066 -0.0005 0.0000 1.2200 5.4722 0.0000 -3.4133 -2.7359 3.5068" Properties=species:S:1:pos:R:3 pbc="T T T"
La 0.0000 0.0000 0.0000
La 0.6100 2.7361 1.7534
Y 2.8033 -0.0002 1.7534
W 3.4133 2.7359 0.0000
```

## Properties
Symmetry: I-4m2
Excess energy over the best structure of this formula in the dataset, eV per atom: 0.121
N(E_F), states/eV/f.u.: 6.30

---

La2YW: optimized geometry, GGA-PBE.

The structure in extended XYZ format:
```
4
Lattice="-0.3846 -1.0986 4.5725 2.3893 -3.9971 -0.7593 4.2245 2.3505 0.9201" Properties=species:S:1:pos:R:3 pbc="T T T"
La 1.0024 -2.5478 1.9066
La 0.0000 0.0000 0.0000
W 1.9199 0.6260 2.7463
Y 3.3069 -0.8233 0.0804
```

## Properties
Symmetry: P4/mmm
Excess energy over the best structure of this formula in the dataset, eV per atom: 0.151
N(E_F), states/eV/f.u.: 5.49

---

LaY2W: optimized geometry, GGA-PBE.

The structure in extended XYZ format:
```
4
Lattice="-1.9992 -4.0832 -1.7307 2.8139 -1.7173 0.8012 -0.7939 -2.3174 6.3847" Properties=species:S:1:pos:R:3 pbc="T T T"
La 1.3693 -2.3226 3.8982
Y 1.9061 -3.8754 6.9416
W 0.1841 -4.9068 4.5272
Y -0.4086 -3.0653 0.8673
```

## Properties
Symmetry: Pm
Excess energy over the best structure of this formula in the dataset, eV per atom: 0.096
N(E_F), states/eV/f.u.: 4.42

---

La2YW: optimized geometry, GGA-PBE.

The structure in extended XYZ format:
```
4
Lattice="-3.6080 -3.7273 -1.3141 -3.4870 -1.7564 3.6596 -5.1748 1.3057 -0.3915" Properties=species:S:1:pos:R:3 pbc="T T T"
Y 0.0000 0.0000 0.0000
W -6.1349 -2.0890 0.9770
La -9.2024 -3.1335 1.4655
La -3.0675 -1.0445 0.4885
```

## Properties
Symmetry: Fm-3m
Excess energy over the best structure of this formula in the dataset, eV per atom: 0.133
N(E_F), states/eV/f.u.: 5.97

---

LaY2W: optimized geometry, GGA-PBE.

The structure in extended XYZ format:
```
4
Lattice="3.8519 0.0000 0.0000 0.0000 3.8519 0.0000 0.0000 0.0000 7.5837" Properties=species:S:1:pos:R:3 pbc="T T T"
Y 0.0000 0.0000 7.2713
W 1.9259 1.9259 5.9401
Y 1.9259 1.9259 1.6112
La 0.0000 0.0000 4.1367
```

## Properties
Symmetry: P4mm
Excess energy over the best structure of this formula in the dataset, eV per atom: 0.068
N(E_F), states/eV/f.u.: 5.53